# SbTe2H

Crystalline SbTe2H at its relaxed geometry (GGA-PBE, the Alexandria database). Values from VASP.

The structure in Quantum ESPRESSO input format:
```
&SYSTEM
  ibrav = 0, nat = 4, ntyp = 3
/
ATOMIC_SPECIES
Sb 121.76 Sb.upf
Te 127.60 Te.upf
H 1.01 H.upf
CELL_PARAMETERS angstrom
1.658 0.957 9.564
-1.658 0.957 9.564
0.000 -1.914 9.564
ATOMIC_POSITIONS crystal
Sb 0.000 0.000 0.000
Te 0.108 0.108 0.108
Te 0.892 0.892 0.892
H 0.500 0.500 0.500
```

raw total energy = -2.930 eV per atom
DOS at the Fermi energy = 0.553 states/eV/atom
space-group type = R-3m
total moment = 0.00 μB/f.u.
calculated volume = 91.0 Å³ per cell
energy above the lowest structure with this stoichiometry = 463.2 meV per atom